Computed, not measured: an optimized crystal structure of CoAsPO at the GGA+U level of DFT.

```
CoAsPO
1.0
4.1829 0.0000 0.0000
0.0000 5.4975 0.0000
0.0000 0.0000 5.4337
Co As P O
2 2 2 2
Direct
0.0000 0.1495 0.0000
0.0000 0.8505 0.5000
0.5000 0.2640 0.4201
0.5000 0.7360 0.9201
0.5000 0.3065 0.8563
0.5000 0.6935 0.3563
0.0000 0.1935 0.3712
0.0000 0.8065 0.8712
```

Values from the calculation:
As for the uncorrected energy: -5.29 eV/atom. The value obtained for the volume is 125 Å³ per cell. Its size of the total moment is 5.95 μB per cell.